Record 1
Here is a geometry-optimized CrFeRh structure from Alexandria via LeMat-Bulk. Energies are from PBE.

Lattice parameters (Å, degrees): 4.083 4.083 2.588 90.00 90.00 120.00
Fractional positions:
Cr (0.000, 0.000, 0.000)
Fe (0.333, 0.667, 0.000)
Rh (0.667, 0.333, 0.500)

Computed properties:
As for the density of states at the Fermi level: 1.095 states/eV per atom. As for the energy above the most stable polymorph in this dataset: 3.5 meV per atom. As for the formation energy: 0.025 eV per atom. The uncorrected energy is -25.36 eV per formula unit.

=====

Record 2
Here is a geometry-optimized CrFe2Rh structure from Alexandria via LeMat-Bulk. Energies are from PBE.

Lattice parameters (Å, degrees): 4.543 4.543 4.543 132.20 132.20 69.91
Fractional positions:
Cr (0.000, 0.000, 0.000)
Fe (0.250, 0.750, 0.500)
Fe (0.750, 0.250, 0.500)
Rh (0.500, 0.500, 0.000)

Computed properties:
As for the density of states at the Fermi level: 1.151 states/eV per atom. As for the formation energy: -0.022 eV per atom. The uncorrected energy is -33.99 eV per formula unit.

=====

Record 3
Here is a geometry-optimized CrFeRh structure from Alexandria via LeMat-Bulk. Energies are from PBE.

Lattice parameters (Å, degrees): 4.610 4.610 5.344 108.39 108.39 46.21
Fractional positions:
Cr (0.167, 0.167, 0.101)
Cr (0.833, 0.833, 0.899)
Fe (0.171, 0.171, 0.589)
Fe (0.829, 0.829, 0.411)
Rh (0.495, 0.495, 0.247)
Rh (0.505, 0.505, 0.753)

Computed properties:
As for the density of states at the Fermi level: 1.121 states/eV per atom. As for the energy above the most stable polymorph in this dataset: 3.9 meV per atom. As for the formation energy: 0.025 eV per atom. The uncorrected energy is -25.36 eV per formula unit.

=====

Record 4
Here is a geometry-optimized Cr6FeRh5 structure from Alexandria via LeMat-Bulk. Energies are from PBE.

Lattice parameters (Å, degrees): 6.997 6.997 6.997 148.94 116.94 71.96
Fractional positions:
Cr (0.085, 0.840, 0.245)
Cr (0.247, 0.500, 0.747)
Cr (0.405, 0.160, 0.245)
Cr (0.595, 0.840, 0.755)
Cr (0.753, 0.500, 0.253)
Cr (0.915, 0.160, 0.755)
Fe (0.000, 0.000, 0.000)
Rh (0.162, 0.662, 0.500)
Rh (0.331, 0.331, 0.000)
Rh (0.500, 0.000, 0.500)
Rh (0.669, 0.669, 0.000)
Rh (0.838, 0.338, 0.500)

Computed properties:
As for the density of states at the Fermi level: 1.255 states/eV per atom. As for the formation energy: -0.021 eV per atom. The uncorrected energy is -103.21 eV per formula unit.